Crystalline NaY2InN at its relaxed geometry. Source: the Alexandria database, functional GGA-PBE.

Unit cell a=4.777 b=4.777 c=4.877 alpha=90.00 beta=90.00 gamma=90.00
Atoms (fractional coordinates):
N 0.000 0.000 0.000
Na 0.000 0.000 0.500
Y 0.000 0.500 0.000
Y 0.500 0.000 0.000
In 0.500 0.500 0.500

Crystalline NaZnInN2 at its relaxed geometry. Source: the Alexandria database, functional GGA-PBE.

Unit cell a=4.145 b=5.093 c=4.145 alpha=90.00 beta=90.00 gamma=90.00
Last column: magnetic moment on the atom in μB.
Atoms (fractional coordinates):
N 0.500 0.000 0.000  0.64
In 0.000 0.500 0.000  -0.04
N 0.000 0.000 0.500  0.61
Zn 0.000 0.000 0.000  0.00
Na 0.500 0.500 0.500  -0.01

Crystalline Nb3InN6 at its relaxed geometry. Source: the Alexandria database, functional GGA-PBE.

Unit cell a=5.527 b=5.146 c=10.039 alpha=59.10 beta=90.00 gamma=90.00
Atoms (fractional coordinates):
N 0.299 0.428 0.394
Nb 0.042 0.277 0.257
N 0.799 0.572 0.106
Nb 0.458 0.277 0.757
N 0.092 0.092 0.723
Nb 0.500 0.500 0.000
N 0.701 0.572 0.606
N 0.812 0.277 0.415
N 0.908 0.908 0.277
N 0.592 0.908 0.777
N 0.408 0.092 0.223
Nb 0.542 0.723 0.243
N 0.312 0.723 0.085
In 0.500 0.000 0.500
N 0.201 0.428 0.894
N 0.188 0.723 0.585
Nb 0.000 0.500 0.500
N 0.688 0.277 0.915
Nb 0.958 0.723 0.743
In 0.000 0.000 0.000

Crystalline Nb6InN at its relaxed geometry. Source: the Alexandria database, functional GGA-PBE.

Unit cell a=4.925 b=5.475 c=5.492 alpha=82.53 beta=93.91 gamma=71.62
Atoms (fractional coordinates):
N 0.000 0.000 0.000
Nb 0.929 0.654 0.200
Nb 0.199 0.076 0.353
Nb 0.071 0.346 0.800
In 0.500 0.500 0.500
Nb 0.605 0.229 0.086
Nb 0.395 0.771 0.914
Nb 0.801 0.924 0.647

Crystalline Nb8InN2 at its relaxed geometry. Source: the Alexandria database, functional GGA-PBE.

Unit cell a=4.414 b=7.844 c=7.844 alpha=45.96 beta=73.62 gamma=73.62
Atoms (fractional coordinates):
Nb 0.397 0.355 0.852
Nb 0.786 0.214 0.214
N 0.714 0.786 0.786
Nb 0.603 0.645 0.148
Nb 0.603 0.148 0.645
Nb 0.397 0.852 0.355
N 0.286 0.214 0.214
Nb 0.872 0.629 0.629
In 0.000 0.000 0.000
Nb 0.128 0.371 0.371
Nb 0.214 0.786 0.786

Crystalline Nb4In2N at its relaxed geometry. Source: the Alexandria database, functional GGA-PBE.

Unit cell a=4.281 b=4.281 c=7.863 alpha=74.20 beta=74.20 gamma=90.00
Atoms (fractional coordinates):
In 0.652 0.652 0.696
N 0.000 0.000 0.000
Nb 0.000 0.500 0.000
Nb 0.144 0.144 0.713
In 0.348 0.348 0.304
Nb 0.500 0.000 0.000
Nb 0.856 0.856 0.287

Crystalline Nb6In2N at its relaxed geometry. Source: the Alexandria database, functional GGA-PBE.

Unit cell a=6.051 b=6.051 c=8.587 alpha=90.00 beta=90.00 gamma=90.00
Atoms (fractional coordinates):
Nb 0.743 0.256 0.500
Nb 0.257 0.744 0.500
Nb 0.244 0.757 0.000
N 0.500 0.500 0.000
Nb 0.000 0.000 0.756
Nb 0.744 0.743 0.500
Nb 0.500 0.500 0.256
Nb 0.756 0.243 0.000
In 0.000 0.500 0.750
N 0.000 0.000 0.500
In 0.500 0.000 0.750
In 0.000 0.500 0.250
Nb 0.243 0.244 0.000
Nb 0.256 0.257 0.500
Nb 0.500 0.500 0.744
In 0.500 0.000 0.250
Nb 0.757 0.756 0.000
Nb 0.000 0.000 0.244

Crystalline NbInNO2 at its relaxed geometry. Source: the Alexandria database, functional GGA-PBE.

Unit cell a=3.954 b=3.954 c=4.423 alpha=90.00 beta=90.00 gamma=90.00
Atoms (fractional coordinates):
O 0.000 0.500 0.000
N 0.000 0.000 0.500
In 0.500 0.500 0.500
O 0.500 0.000 0.000
Nb 0.000 0.000 0.000

Crystalline NbInNO2 at its relaxed geometry. Source: the Alexandria database, functional GGA-PBE.

Unit cell a=4.039 b=4.039 c=4.201 alpha=90.00 beta=90.00 gamma=90.00
Last column: magnetic moment on the atom in μB.
Atoms (fractional coordinates):
O 0.500 0.000 0.000  -0.14
In 0.000 0.000 0.000  -0.03
O 0.000 0.500 0.000  -0.14
Nb 0.500 0.500 0.500  1.66
N 0.000 0.000 0.500  -0.35

Crystalline NbIn2PbN at its relaxed geometry. Source: the Alexandria database, functional GGA-PBE.

Unit cell a=4.479 b=5.151 c=4.479 alpha=90.00 beta=90.00 gamma=90.00
Atoms (fractional coordinates):
In 0.500 0.000 0.000
Nb 0.500 0.500 0.500
In 0.000 0.000 0.500
Pb 0.000 0.500 0.000
N 0.000 0.000 0.000

Crystalline NbInS2N at its relaxed geometry. Source: the Alexandria database, functional GGA-PBE.

## Properties
**Energy above the most stable polymorph in this dataset**: 0 meV per atom

Unit cell a=5.008 b=5.008 c=3.933 alpha=90.00 beta=90.00 gamma=90.00
Atoms (fractional coordinates):
S 0.000 0.500 0.000
Nb 0.000 0.000 0.000
N 0.000 0.000 0.500
In 0.500 0.500 0.500
S 0.500 0.000 0.000

Crystalline NbInS2N at its relaxed geometry. Source: the Alexandria database, functional GGA-PBE.

## Properties
**Energy above the most stable polymorph in this dataset**: 1350 meV per atom

Unit cell a=5.003 b=5.003 c=4.030 alpha=90.00 beta=90.00 gamma=90.00
Last column: magnetic moment on the atom in μB.
Atoms (fractional coordinates):
N 0.000 0.000 0.500  0.61
S 0.500 0.000 0.000  0.01
S 0.000 0.500 0.000  0.01
In 0.000 0.000 0.000  -0.01
Nb 0.500 0.500 0.500  0.54

Number 1: final energy -5.7118 eV/atom, formation energy from raw total energies -0.650 eV/atom. Number 2: final energy -3.1246 eV/atom, formation energy from raw total energies 1.272 eV/atom. Number 3: final energy -8.6809 eV/atom, formation energy from raw total energies -0.391 eV/atom. Number 4: final energy -9.1780 eV/atom, formation energy from raw total energies -0.243 eV/atom. Number 5: final energy -9.1370 eV/atom, formation energy from raw total energies -0.051 eV/atom. Number 6: final energy -7.8658 eV/atom, formation energy from raw total energies -0.140 eV/atom. Number 7: final energy -8.4762 eV/atom, formation energy from raw total energies -0.229 eV/atom. Number 8: final energy -7.3690 eV/atom, formation energy from raw total energies -1.159 eV/atom. Number 9: final energy -5.9522 eV/atom, formation energy from raw total energies 0.258 eV/atom. Number 10: final energy -4.6833 eV/atom, formation energy from raw total energies 0.833 eV/atom. Number 11: final energy -6.0962 eV/atom, formation energy from raw total energies -0.219 eV/atom. Number 12: final energy -4.7458 eV/atom, formation energy from raw total energies 1.132 eV/atom.